[1]
ZnSn5Ir3 | PBE | relaxed

Cell and atoms, written as POSCAR:
```
ZnSn5Ir3
1.0
5.7658 -4.5369 0.0000
5.7658 4.5369 0.0000
-4.8468 0.0000 8.3808
Zn Sn Ir
2 10 6
Direct
0.0865 0.0865 0.3047 Zn
0.9135 0.9135 0.6953 Zn
0.0443 0.6184 0.3438 Sn
0.2301 0.2301 0.0073 Sn
0.2845 0.7155 0.0000 Sn
0.3816 0.9557 0.6562 Sn
0.4354 0.4354 0.6305 Sn
0.5646 0.5646 0.3695 Sn
0.6184 0.0443 0.3438 Sn
0.7155 0.2845 0.0000 Sn
0.7699 0.7699 0.9927 Sn
0.9557 0.3816 0.6562 Sn
0.0000 0.0000 0.0000 Ir
0.0000 0.0000 0.5000 Ir
0.3142 0.3142 0.3126 Ir
0.3392 0.3392 0.8277 Ir
0.6608 0.6608 0.1723 Ir
0.6858 0.6858 0.6874 Ir
```

theoretical density	9.36	g cm⁻³
E_form	-0.127	eV/atom
symmetry	C2/m (12)
E_tot	-49.02	eV/f.u.

[2]
K2GeTe5 | PBE | relaxed

Cell and atoms, written as POSCAR:
```
K2GeTe5
1.0
-3.3659 3.3659 7.5863
3.3659 -3.3659 7.5863
3.3659 3.3659 -7.5863
K Ge Te
2 1 5
Direct
0.0000 0.5000 0.5000 K
0.5000 0.0000 0.5000 K
0.2700 0.2700 0.0000 Ge
0.4401 0.4401 0.0000 Te
0.4552 0.4552 0.5318 Te
0.4552 0.9234 0.0000 Te
0.9234 0.4552 0.0000 Te
0.9234 0.9234 0.4682 Te
```

theoretical density	3.81	g cm⁻³
symmetry	I4mm (107)
energy relative to the elements, uncorrected	-0.36	eV per atom
E_tot	-25.41	eV/f.u.

[3]
LaNi2Pb | PBE | relaxed

Cell and atoms, written as POSCAR:
```
LaNi2Pb
1.0
0.0000 3.4734 3.4734
3.4734 0.0000 3.4734
3.4734 3.4734 0.0000
La Ni Pb
1 2 1
Direct
0.0000 0.0000 0.0000 La
0.5000 0.5000 0.5000 Ni
0.7500 0.7500 0.7500 Ni
0.2500 0.2500 0.2500 Pb
```

theoretical density	9.18	g cm⁻³
E_form	0.156	eV/atom
symmetry	F-43m (216)
E_tot	-19.58	eV/f.u.

[4]
YCrBr2 | PBE | relaxed

Cell and atoms, written as POSCAR:
```
YCrBr2
1.0
-2.0253 2.2702 6.8689
2.0253 -2.2702 6.8689
2.0253 2.2702 -6.8689
Y Cr Br
1 1 2
Direct
0.0000 0.0000 0.0000 Y
0.5000 0.5000 0.0000 Cr
0.3641 0.8641 0.5000 Br
0.6359 0.1359 0.5000 Br
```

theoretical density	3.95	g cm⁻³
symmetry	Immm (71)
energy relative to the elements, uncorrected	-0.43	eV per atom
polymorph energy (0 for the lowest one)	57	kJ/mol of formula units
E_tot	-21.16	eV/f.u.

[5]
AgGeSe | PBE | relaxed

Cell and atoms, written as POSCAR:
```
AgGeSe
1.0
4.1998 0.0000 0.0000
0.0000 5.0792 0.0000
0.0000 0.0000 6.4353
Ag Ge Se
2 2 2
Direct
0.0000 0.2468 0.0000 Ag
0.5000 0.7532 0.5000 Ag
0.0000 0.0491 0.6188 Ge
0.5000 0.9509 0.1188 Ge
0.0000 0.4376 0.3902 Se
0.5000 0.5624 0.8902 Se
```

theoretical density	6.28	g cm⁻³
symmetry	Pmn2_1 (31)
energy relative to the elements, uncorrected	0.02	eV per atom
polymorph energy (0 for the lowest one)	0	kJ/mol of formula units
E_tot	-10.89	eV/f.u.

[6]
YReOs | PBE | relaxed

Cell and atoms, written as POSCAR:
```
YReOs
1.0
4.1463 0.0000 0.0000
-2.0731 3.5908 0.0000
0.0000 0.0000 4.4576
Y Re Os
1 1 1
Direct
0.0000 0.0000 0.0000 Y
0.3333 0.6667 0.5259 Re
0.6667 0.3333 0.4699 Os
```

theoretical density	11.64	g cm⁻³
E_form	0.063	eV/atom
symmetry	P3m1 (156)
polymorph energy (0 for the lowest one)	87	kJ/mol of formula units
E_tot	-29.95	eV/f.u.

[7]
Sm2Mg5Ag4 | PBE | relaxed

Cell and atoms, written as POSCAR:
```
Sm2Mg5Ag4
1.0
0.0000 5.9738 7.5013
2.9761 0.0000 7.5013
2.9761 5.9738 0.0000
Sm Mg Ag
2 5 4
Direct
0.1567 0.1567 0.8433 Sm
0.8433 0.8433 0.1567 Sm
0.0000 0.0000 0.5000 Mg
0.2500 0.2500 0.2500 Mg
0.5000 0.5000 0.0000 Mg
0.5000 0.5000 0.5000 Mg
0.7500 0.7500 0.7500 Mg
0.2349 0.4784 0.5216 Ag
0.4784 0.2349 0.7651 Ag
0.5216 0.7651 0.2349 Ag
0.7651 0.5216 0.4784 Ag
```

theoretical density	5.31	g cm⁻³
E_form	-0.099	eV/atom
symmetry	Fmmm (69)
E_tot	-29.91	eV/f.u.

[8]
NiRuCl6 | PBE | relaxed

Cell and atoms, written as POSCAR:
```
NiRuCl6
1.0
2.9896 -5.9862 0.0000
2.9896 5.9862 0.0000
-1.9219 0.0000 5.6602
Ni Ru Cl
1 1 6
Direct
0.0000 0.0000 0.0000 Ni
0.5000 0.5000 0.5000 Ru
0.1154 0.3800 0.2483 Cl
0.2622 0.2622 0.7389 Cl
0.3800 0.1154 0.2483 Cl
0.6200 0.8846 0.7517 Cl
0.7378 0.7378 0.2611 Cl
0.8846 0.6200 0.7517 Cl
```

theoretical density	3.05	g cm⁻³
symmetry	C2/m (12)
energy relative to the elements, uncorrected	-0.45	eV per atom
E_tot	-29.76	eV/f.u.

[9]
CaTh2 | PBE | relaxed

Cell and atoms, written as POSCAR:
```
CaTh2
1.0
0.0000 4.8049 4.8049
4.8049 0.0000 4.8049
4.8049 4.8049 0.0000
Ca Th
2 4
Direct
0.1250 0.1250 0.1250 Ca
0.8750 0.8750 0.8750 Ca
0.0000 0.5000 0.5000 Th
0.5000 0.0000 0.5000 Th
0.5000 0.5000 0.0000 Th
0.5000 0.5000 0.5000 Th
```

theoretical density	7.55	g cm⁻³
E_form	0.308	eV/atom
symmetry	Fd-3m (227)
polymorph energy (0 for the lowest one)	44	kJ/mol of formula units
E_tot	-15.92	eV/f.u.

[10]
K2GeTe2 | PBE | relaxed

Cell and atoms, written as POSCAR:
```
K2GeTe2
1.0
10.0417 0.0000 0.0000
0.0000 9.1690 0.0000
-1.3818 0.0000 8.7948
K Ge Te
8 4 8
Direct
0.0756 0.2265 0.0222 K
0.0756 0.2735 0.5222 K
0.3425 0.6915 0.9802 K
0.3425 0.8085 0.4802 K
0.6575 0.1915 0.5198 K
0.6575 0.3085 0.0198 K
0.9244 0.7265 0.4778 K
0.9244 0.7735 0.9778 K
0.3733 0.0980 0.8642 Ge
0.3733 0.4020 0.3642 Ge
0.6267 0.5980 0.6358 Ge
0.6267 0.9020 0.1358 Ge
0.1413 0.5467 0.2487 Te
0.1413 0.9533 0.7487 Te
0.4101 0.0702 0.1949 Te
0.4101 0.4298 0.6949 Te
0.5899 0.5702 0.3051 Te
0.5899 0.9298 0.8051 Te
0.8587 0.0467 0.2513 Te
0.8587 0.4533 0.7513 Te
```

theoretical density	3.33	g cm⁻³
symmetry	P2_1/c (14)
energy relative to the elements, uncorrected	-0.67	eV per atom
polymorph energy (0 for the lowest one)	0	kJ/mol of formula units
E_tot	-16.45	eV/f.u.

[11]
PrNd2Y3Bi6 | PBE | relaxed

Cell and atoms, written as POSCAR:
```
PrNd2Y3Bi6
1.0
9.9139 -2.2777 0.0000
9.9139 2.2777 0.0000
-2.0614 0.0000 8.8611
Pr Nd Y Bi
1 2 3 6
Direct
0.0000 0.0000 0.0000 Pr
0.3332 0.3332 0.6667 Nd
0.6668 0.6668 0.3333 Nd
0.0000 0.0000 0.5000 Y
0.3335 0.3335 0.1670 Y
0.6665 0.6665 0.8330 Y
0.1649 0.1649 0.5877 Bi
0.1690 0.1690 0.0790 Bi
0.4983 0.4983 0.2559 Bi
0.5017 0.5017 0.7441 Bi
0.8310 0.8310 0.9210 Bi
0.8351 0.8351 0.4123 Bi
```

theoretical density	8.09	g cm⁻³
E_form	-0.923	eV/atom
symmetry	C2/m (12)
E_tot	-68.07	eV/f.u.

[12]
LaSm2Cd8 | PBE | relaxed

Cell and atoms, written as POSCAR:
```
LaSm2Cd8
1.0
4.2079 -8.0688 0.0000
4.2079 8.0688 0.0000
-3.4227 0.0000 4.1467
La Sm Cd
1 2 8
Direct
0.0000 0.0000 0.0000 La
0.3084 0.6916 0.5000 Sm
0.6916 0.3084 0.5000 Sm
0.1020 0.3604 0.7324 Cd
0.2025 0.7975 0.0000 Cd
0.3604 0.1020 0.7324 Cd
0.4990 0.4990 0.7480 Cd
0.5010 0.5010 0.2520 Cd
0.6396 0.8980 0.2676 Cd
0.7975 0.2025 0.0000 Cd
0.8980 0.6396 0.2676 Cd
```

theoretical density	7.90	g cm⁻³
E_form	-0.297	eV/atom
symmetry	C2/m (12)
E_tot	-24.96	eV/f.u.